[1]
# Ba2Mg12InPd3 PBE relaxed
# **Formation energy**: -29 meV/atom
# **DOS(E_F)**: 31.5 states/eV per cell
# **Total moment**: 0.00 μB/f.u.
data_Ba2Mg12InPd3
_chemical_formula_sum 'Ba6 Mg36 In3 Pd9'
_cell_length_a 9.5822
_cell_length_b 9.5822
_cell_length_c 21.1111
_cell_angle_alpha 90.00
_cell_angle_beta 90.00
_cell_angle_gamma 120.00
_symmetry_space_group_name_H-M 'R -3 m'
_symmetry_Int_Tables_number 166
_symmetry_space_group_name_Hall '-R 3 2"'
loop_
_atom_site_label
_atom_site_fract_x
_atom_site_fract_y
_atom_site_fract_z
Ba1 0.0000 0.0000 0.0965
Mg1 0.0042 0.5021 0.8793
Mg2 0.0665 0.5332 0.3313
In1 0.0000 0.0000 0.5000
Pd1 0.0000 0.5000 0.0000

***

[2]
# Pa2CuRh PBE relaxed
# **Formation energy**: -247 meV/atom
# **DOS(E_F)**: 6.1 states/eV per cell
# **Relative energy among the computed polymorphs**: 0 meV/atom
# **Total moment**: 0.00 μB/f.u.
data_Pa2CuRh
_chemical_formula_sum 'Pa2 Cu1 Rh1'
_cell_length_a 4.347
_cell_length_b 4.347
_cell_length_c 4.123
_cell_angle_alpha 90.00
_cell_angle_beta 90.00
_cell_angle_gamma 90.00
_symmetry_space_group_name_H-M 'P 4/m m m'
_symmetry_Int_Tables_number 123
_symmetry_space_group_name_Hall '-P 4 2'
loop_
_atom_site_label
_atom_site_fract_x
_atom_site_fract_y
_atom_site_fract_z
Pa1 0.000 0.500 0.000
Cu1 0.000 0.000 0.500
Rh1 0.500 0.500 0.500

***

[3]
# MoPt2Br PBE relaxed
# **DOS(E_F)**: 10.9 states/eV per cell
# **Relative energy among the computed polymorphs**: 693 meV/atom
# **Total moment**: 1.35 μB/f.u.
data_MoPt2Br
_chemical_formula_sum 'Mo4 Pt8 Br4'
_cell_length_a 6.542
_cell_length_b 6.542
_cell_length_c 6.542
_cell_angle_alpha 90.00
_cell_angle_beta 90.00
_cell_angle_gamma 90.00
_symmetry_space_group_name_H-M 'F m -3 m'
_symmetry_Int_Tables_number 225
_symmetry_space_group_name_Hall '-F 4 2 3'
loop_
_atom_site_label
_atom_site_fract_x
_atom_site_fract_y
_atom_site_fract_z
Mo1 0.000 0.000 0.000
Pt1 0.250 0.250 0.250
Br1 0.000 0.000 0.500

***

[4]
# Lu2MgSe4 PBE relaxed
# **DOS(E_F)**: 0.0 states/eV per cell
# **Relative energy among the computed polymorphs**: 51 meV/atom
# **Total moment**: 0.00 μB/f.u.
data_Lu2MgSe4
_chemical_formula_sum 'Lu8 Mg4 Se16'
_cell_length_a 9.469
_cell_length_b 9.469
_cell_length_c 8.237
_cell_angle_alpha 90.00
_cell_angle_beta 90.00
_cell_angle_gamma 90.00
_symmetry_space_group_name_H-M 'I -4 2 d'
_symmetry_Int_Tables_number 122
_symmetry_space_group_name_Hall 'I -4 2bw'
loop_
_atom_site_label
_atom_site_fract_x
_atom_site_fract_y
_atom_site_fract_z
Lu1 0.232 0.250 0.125
Mg1 0.000 0.000 0.500
Se1 0.048 0.244 0.861

***

[5]
# PaZn6Au2 PBE relaxed
# **Formation energy**: -118 meV/atom
# **DOS(E_F)**: 7.1 states/eV per cell
# **Total moment**: 0.78 μB/f.u.
data_PaZn6Au2
_chemical_formula_sum 'Pa1 Zn6 Au2'
_cell_length_a 4.025
_cell_length_b 4.025
_cell_length_c 9.897
_cell_angle_alpha 90.00
_cell_angle_beta 90.00
_cell_angle_gamma 90.00
_symmetry_space_group_name_H-M 'P 4/m m m'
_symmetry_Int_Tables_number 123
_symmetry_space_group_name_Hall '-P 4 2'
loop_
_atom_site_label
_atom_site_fract_x
_atom_site_fract_y
_atom_site_fract_z
Pa1 0.000 0.000 0.000
Zn1 0.000 0.000 0.500
Zn2 0.000 0.500 0.311
Zn3 0.500 0.500 0.500
Au1 0.500 0.500 0.137

***

[6]
# LaTaSi2 PBE relaxed
# **DOS(E_F)**: 16.0 states/eV per cell
# **Relative energy among the computed polymorphs**: 433 meV/atom
# **Total moment**: 1.11 μB/f.u.
data_LaTaSi2
_chemical_formula_sum 'La4 Ta4 Si8'
_cell_length_a 6.818
_cell_length_b 6.818
_cell_length_c 6.818
_cell_angle_alpha 90.00
_cell_angle_beta 90.00
_cell_angle_gamma 90.00
_symmetry_space_group_name_H-M 'F m -3 m'
_symmetry_Int_Tables_number 225
_symmetry_space_group_name_Hall '-F 4 2 3'
loop_
_atom_site_label
_atom_site_fract_x
_atom_site_fract_y
_atom_site_fract_z
La1 0.000 0.000 0.000
Ta1 0.000 0.000 0.500
Si1 0.250 0.250 0.250

***

[7]
# Nd2TlCd16 PBE relaxed
# **Formation energy**: -139 meV/atom
# **DOS(E_F)**: 18.3 states/eV per cell
# **Total moment**: 0.00 μB/f.u.
data_Nd2TlCd16
_chemical_formula_sum 'Nd6 Tl3 Cd48'
_cell_length_a 10.2191
_cell_length_b 10.2191
_cell_length_c 14.8704
_cell_angle_alpha 90.00
_cell_angle_beta 90.00
_cell_angle_gamma 120.00
_symmetry_space_group_name_H-M 'R 3 m'
_symmetry_Int_Tables_number 160
_symmetry_space_group_name_Hall 'R 3 -2"'
loop_
_atom_site_label
_atom_site_fract_x
_atom_site_fract_y
_atom_site_fract_z
Nd1 0.0000 0.0000 0.0000
Nd2 0.0000 0.0000 0.3368
Tl1 0.0000 0.0000 0.5636
Cd1 0.0000 0.0000 0.7654
Cd2 0.0070 0.5035 0.8163
Cd3 0.0280 0.3595 0.3343
Cd4 0.1767 0.3534 0.5037
Cd5 0.1804 0.3608 0.8488

***

[8]
# LaZrIn2Hg PBE relaxed
# **Formation energy**: 362 meV/atom
# **DOS(E_F)**: 7.0 states/eV per cell
# **Total moment**: 0.00 μB/f.u.
data_LaZrIn2Hg
_chemical_formula_sum 'La1 Zr1 In2 Hg1'
_cell_length_a 5.633
_cell_length_b 5.633
_cell_length_c 5.520
_cell_angle_alpha 90.00
_cell_angle_beta 90.00
_cell_angle_gamma 90.00
_symmetry_space_group_name_H-M 'P 4/m m m'
_symmetry_Int_Tables_number 123
_symmetry_space_group_name_Hall '-P 4 2'
loop_
_atom_site_label
_atom_site_fract_x
_atom_site_fract_y
_atom_site_fract_z
La1 0.000 0.000 0.000
Zr1 0.000 0.000 0.500
In1 0.000 0.500 0.500
Hg1 0.500 0.500 0.000

***

[9]
# K2Ga6Ge3 PBE relaxed
# **Formation energy**: -60 meV/atom
# **DOS(E_F)**: 3.4 states/eV per cell
# **Total moment**: 0.00 μB/f.u.
data_K2Ga6Ge3
_chemical_formula_sum 'K2 Ga6 Ge3'
_cell_length_a 8.2124
_cell_length_b 8.2124
_cell_length_c 4.5126
_cell_angle_alpha 90.00
_cell_angle_beta 90.00
_cell_angle_gamma 120.00
_symmetry_space_group_name_H-M 'P -6 2 m'
_symmetry_Int_Tables_number 189
_symmetry_space_group_name_Hall 'P -6 -2'
loop_
_atom_site_label
_atom_site_fract_x
_atom_site_fract_y
_atom_site_fract_z
K1 0.3333 0.6667 0.0000
Ga1 0.0000 0.1860 0.0000
Ga2 0.0000 0.7067 0.5000
Ge1 0.0000 0.3518 0.5000

***

[10]
# TiZn2Sb2 PBE relaxed
# **DOS(E_F)**: 8.4 states/eV per cell
# **Relative energy among the computed polymorphs**: 58 meV/atom
# **Total moment**: 0.00 μB/f.u.
data_TiZn2Sb2
_chemical_formula_sum 'Ti2 Zn4 Sb4'
_cell_length_a 7.267
_cell_length_b 7.267
_cell_length_c 3.771
_cell_angle_alpha 90.00
_cell_angle_beta 90.00
_cell_angle_gamma 90.00
_symmetry_space_group_name_H-M 'P 4/m b m'
_symmetry_Int_Tables_number 127
_symmetry_space_group_name_Hall '-P 4 2ab'
loop_
_atom_site_label
_atom_site_fract_x
_atom_site_fract_y
_atom_site_fract_z
Ti1 0.000 0.000 0.000
Zn1 0.124 0.376 0.000
Sb1 0.180 0.680 0.500

***

[11]
# TaRhNF2 PBE relaxed
# **DOS(E_F)**: 3.0 states/eV per cell
# **Relative energy among the computed polymorphs**: 0 meV/atom
# **Total moment**: 1.12 μB/f.u.
data_TaRhNF2
_chemical_formula_sum 'Ta1 Rh1 N1 F2'
_cell_length_a 4.085
_cell_length_b 4.085
_cell_length_c 4.045
_cell_angle_alpha 90.00
_cell_angle_beta 90.00
_cell_angle_gamma 90.00
_symmetry_space_group_name_H-M 'P 4/m m m'
_symmetry_Int_Tables_number 123
_symmetry_space_group_name_Hall '-P 4 2'
loop_
_atom_site_label
_atom_site_fract_x
_atom_site_fract_y
_atom_site_fract_z
Ta1 0.000 0.000 0.000
Rh1 0.500 0.500 0.500
N1 0.000 0.000 0.500
F1 0.000 0.500 0.000

***

[12]
# Na2ReNiW PBE relaxed
# **Formation energy**: 2619 meV/atom
# **DOS(E_F)**: 5.5 states/eV per cell
# **Total moment**: 4.95 μB/f.u.
data_Na2ReNiW
_chemical_formula_sum 'Na2 Re1 Ni1 W1'
_cell_length_a 5.526
_cell_length_b 5.526
_cell_length_c 4.406
_cell_angle_alpha 90.00
_cell_angle_beta 90.00
_cell_angle_gamma 90.00
_symmetry_space_group_name_H-M 'P 4/m m m'
_symmetry_Int_Tables_number 123
_symmetry_space_group_name_Hall '-P 4 2'
loop_
_atom_site_label
_atom_site_fract_x
_atom_site_fract_y
_atom_site_fract_z
Na1 0.000 0.500 0.000
Re1 0.000 0.000 0.500
Ni1 0.500 0.500 0.500
W1 0.500 0.500 0.000